(1)
BeZnAsIr after structural relaxation, computed with PBE.

Lattice parameters (Å, degrees): 3.014 4.532 4.744 77.00 72.02 70.60
Fractional coordinates of all 4 atoms:
Be 0.000 0.000 0.000
Zn 0.259 0.076 0.416
As 0.406 0.439 0.747
Ir 0.636 0.573 0.161

Summary:
The calculation puts the distance to the lowest polymorph of the same formula at 157 meV per atom. The formation energy is -0.023 eV/atom.


(2)
Rb3Ce2ZrSe6 after structural relaxation, computed with PBE.

Lattice parameters (Å, degrees): 7.358 7.358 8.408 98.41 98.41 120.01
Fractional coordinates of all 12 atoms:
Rb 0.000 0.000 0.000
Rb 0.331 0.669 0.000
Rb 0.669 0.331 0.000
Ce 0.166 0.834 0.500
Ce 0.834 0.166 0.500
Zr 0.500 0.500 0.500
Se 0.119 0.434 0.303
Se 0.251 0.251 0.698
Se 0.434 0.119 0.303
Se 0.566 0.881 0.697
Se 0.749 0.749 0.302
Se 0.881 0.566 0.697

Summary:
For the formation energy from raw total energies, the calculation gives -1771 kJ/mol of formula units.


(3)
Hf3OsO after structural relaxation, computed with PBE.

Lattice parameters (Å, degrees): 4.354 4.354 4.354 90.00 90.00 90.00
Fractional coordinates of all 5 atoms:
Hf 0.000 0.000 0.500
Hf 0.000 0.500 0.000
Hf 0.500 0.000 0.000
Os 0.500 0.500 0.500
O 0.000 0.000 0.000

Summary:
For the formation energy from raw total energies, the calculation gives -517 kJ/mol of formula units.


(4)
CdPtPb2 after structural relaxation, computed with PBE.

Lattice parameters (Å, degrees): 7.224 7.224 7.224 153.23 142.52 46.66
Fractional coordinates of all 4 atoms:
Cd 0.000 0.000 0.000
Pt 0.500 0.500 0.000
Pb 0.319 0.819 0.500
Pb 0.681 0.181 0.500

Summary:
The formation energy is -0.108 eV/atom.


(5)
Pb2SeCl after structural relaxation, computed with PBE.

Lattice parameters (Å, degrees): 5.707 5.707 5.707 135.65 113.82 83.17
Fractional coordinates of all 4 atoms:
Pb 0.244 0.244 0.000
Pb 0.756 0.756 0.000
Se 0.000 0.500 0.500
Cl 0.500 0.000 0.500

Summary:
The calculation puts the distance to the lowest polymorph of the same formula at 110 meV per atom. For the formation energy from raw total energies, the calculation gives -182 kJ/mol of formula units.


(6)
Rb2PaMnTe5 after structural relaxation, computed with PBE.

Lattice parameters (Å, degrees): 11.301 11.301 15.122 90.00 90.00 156.84
Fractional coordinates of all 18 atoms:
Rb 0.119 0.881 0.500
Rb 0.130 0.870 0.862
Rb 0.870 0.130 0.362
Rb 0.881 0.119 0.000
Pa 0.204 0.796 0.190
Pa 0.796 0.204 0.690
Mn 0.418 0.582 0.585
Mn 0.582 0.418 0.085
Te 0.064 0.936 0.174
Te 0.298 0.702 0.551
Te 0.306 0.694 0.822
Te 0.333 0.667 0.179
Te 0.489 0.511 0.456
Te 0.511 0.489 0.956
Te 0.667 0.333 0.679
Te 0.694 0.306 0.322
Te 0.702 0.298 0.051
Te 0.936 0.064 0.674

Summary:
For the formation energy from raw total energies, the calculation gives -623 kJ/mol of formula units.


(7)
YTa2Se after structural relaxation, computed with PBE.

Lattice parameters (Å, degrees): 3.174 3.174 8.218 90.00 90.00 90.00
Fractional coordinates of all 4 atoms:
Y 0.000 0.000 0.000
Ta 0.500 0.500 0.306
Ta 0.500 0.500 0.694
Se 0.000 0.000 0.500

Summary:
For the formation energy from raw total energies, the calculation gives 61 kJ/mol of formula units.


(8)
PrErPa after structural relaxation, computed with PBE.

Lattice parameters (Å, degrees): 3.450 3.450 8.688 90.00 90.00 120.00
Fractional coordinates of all 3 atoms:
Pr 0.000 0.000 0.000
Er 0.333 0.667 0.636
Pa 0.667 0.333 0.325

Summary:
The calculation puts the distance to the lowest polymorph of the same formula at 0 meV per atom. The formation energy is 0.159 eV/atom.


Number 1: total DFT energy (no corrections) -18.6 eV per cell, DOS at the Fermi energy 1.61 states/eV/cell. Number 2: total DFT energy (no corrections) -62.6 eV per cell, DOS at the Fermi energy 15.77 states/eV/cell. Number 3: total DFT energy (no corrections) -51.4 eV per cell, DOS at the Fermi energy 3.75 states/eV/cell. Number 4: total DFT energy (no corrections) -14.8 eV per cell, DOS at the Fermi energy 1.81 states/eV/cell. Number 5: total DFT energy (no corrections) -14.6 eV per cell, DOS at the Fermi energy 1.59 states/eV/cell. Number 6: total DFT energy (no corrections) -85.5 eV per cell, DOS at the Fermi energy 5.49 states/eV/cell. Number 7: total DFT energy (no corrections) -33.0 eV per cell, DOS at the Fermi energy 4.04 states/eV/cell. Number 8: total DFT energy (no corrections) -18.4 eV per cell, DOS at the Fermi energy 4.56 states/eV/cell.